9
Lattice="-3.7294 0.3095 2.0333 1.4613 -6.7053 3.7010 4.5825 5.7765 3.0651" Properties=species:S:1:pos:R:3 comment="PBE K2Li2NpSe4, relaxed" formation_energy_uncorrected_kj_per_mol_fu=-1084 volume_a3_per_fu=239.9 space_group=C2/m pbc="T T T"
Li 1.7431 3.7018 2.6335
Li 0.5713 -4.3211 6.1660
Se 1.3179 1.1482 2.2424
Se 0.9965 -1.7675 6.5572
Se 2.9726 4.1842 4.8152
Se -0.6582 -4.8035 3.9844
Np 0.0000 0.0000 0.0000
K 0.7403 1.5200 5.5869
K 1.5740 -2.1393 3.2126